! Y2PuAs (PBE, relaxed); values from VASP
! Total magnetization ... 1.61 μB/atom
! Fermi-level density of states ... 2.832 states/eV/atom
! VASP energy ... -99.28 eV/cell
&SYSTEM
  ibrav = 0, nat = 12, ntyp = 3
/
ATOMIC_SPECIES
Y 88.91 Y.upf
Pu 244.00 Pu.upf
As 74.92 As.upf
CELL_PARAMETERS angstrom
3.772 0.000 0.000
-1.886 3.267 0.000
0.000 0.000 30.723
ATOMIC_POSITIONS crystal
Y 0.000 0.000 0.110
Y 0.000 0.000 0.890
Y 0.333 0.667 0.557
Y 0.333 0.667 0.777
Y 0.667 0.333 0.223
Y 0.667 0.333 0.443
Pu 0.000 0.000 0.000
Pu 0.333 0.667 0.667
Pu 0.667 0.333 0.333
As 0.000 0.000 0.500
As 0.333 0.667 0.167
As 0.667 0.333 0.833

---

! TlMoBrN2 (PBE, relaxed); values from VASP
! Formation energy without anion corrections ... 213.18 kJ/mol of atoms
! Total magnetization ... 1.38 μB/atom
! Fermi-level density of states ... 0.634 states/eV/atom
&SYSTEM
  ibrav = 0, nat = 5, ntyp = 4
/
ATOMIC_SPECIES
Tl 204.38 Tl.upf
Mo 95.94 Mo.upf
Br 79.90 Br.upf
N 14.01 N.upf
CELL_PARAMETERS angstrom
4.245 0.000 0.000
0.000 4.245 0.000
0.000 0.000 6.599
ATOMIC_POSITIONS crystal
Tl 0.000 0.000 0.000
Mo 0.000 0.000 0.500
Br 0.500 0.500 0.500
N 0.000 0.500 0.000
N 0.500 0.000 0.000

---

! CsRe2RhW (PBE, relaxed); values from VASP
! Total magnetization ... 0.00 μB/atom
! Fermi-level density of states ... 1.590 states/eV/atom
! VASP energy ... -26.25 eV/cell
&SYSTEM
  ibrav = 0, nat = 5, ntyp = 4
/
ATOMIC_SPECIES
Cs 132.91 Cs.upf
Re 186.21 Re.upf
Rh 102.91 Rh.upf
W 183.84 W.upf
CELL_PARAMETERS angstrom
4.853 0.000 0.000
0.000 4.853 0.000
0.000 0.000 4.699
ATOMIC_POSITIONS crystal
Cs 0.000 0.000 0.000
Re 0.000 0.500 0.000
Re 0.500 0.000 0.000
Rh 0.000 0.000 0.500
W 0.500 0.500 0.500

---

! PrSm2Rh (PBE, relaxed); values from VASP
! Total magnetization ... 0.00 μB/atom
! Fermi-level density of states ... 1.304 states/eV/atom
! Polymorph energy (0 for the lowest one) ... 126.4 meV/atom
&SYSTEM
  ibrav = 0, nat = 12, ntyp = 3
/
ATOMIC_SPECIES
Pr 140.91 Pr.upf
Sm 150.36 Sm.upf
Rh 102.91 Rh.upf
CELL_PARAMETERS angstrom
3.940 0.000 0.000
-1.970 3.412 0.000
0.000 0.000 28.096
ATOMIC_POSITIONS crystal
Pr 0.000 0.000 0.000
Pr 0.333 0.667 0.667
Pr 0.667 0.333 0.333
Sm 0.000 0.000 0.557
Sm 0.000 0.000 0.774
Sm 0.333 0.667 0.223
Sm 0.333 0.667 0.441
Sm 0.667 0.333 0.107
Sm 0.667 0.333 0.890
Rh 0.000 0.000 0.165
Rh 0.333 0.667 0.832
Rh 0.667 0.333 0.498

---

! CuTe2Br (PBE, relaxed); values from VASP
! Formation energy without anion corrections ... 9.71 kJ/mol of atoms
! Total magnetization ... 0.00 μB/atom
! Fermi-level density of states ... 0.661 states/eV/atom
&SYSTEM
  ibrav = 0, nat = 8, ntyp = 3
/
ATOMIC_SPECIES
Cu 63.55 Cu.upf
Te 127.60 Te.upf
Br 79.90 Br.upf
CELL_PARAMETERS angstrom
4.047 0.000 0.000
0.000 6.371 0.000
0.000 0.000 8.706
ATOMIC_POSITIONS crystal
Cu 0.000 0.000 0.000
Cu 0.500 0.500 0.500
Te 0.000 0.500 0.325
Te 0.000 0.500 0.675
Te 0.500 0.000 0.175
Te 0.500 0.000 0.825
Br 0.000 0.000 0.500
Br 0.500 0.500 0.000

---

! RbCuPO4 (PBE, relaxed); values from VASP
! Formation energy without anion corrections ... -169.93 kJ/mol of atoms
! Total magnetization ... 0.15 μB/atom
! Fermi-level density of states ... 0.336 states/eV/atom
! Polymorph energy (0 for the lowest one) ... 0.0 meV/atom
&SYSTEM
  ibrav = 0, nat = 28, ntyp = 4
/
ATOMIC_SPECIES
Rb 85.47 Rb.upf
Cu 63.55 Cu.upf
P 30.97 P.upf
O 16.00 O.upf
CELL_PARAMETERS angstrom
9.417 0.000 0.000
0.000 9.114 0.000
0.000 0.000 5.121
ATOMIC_POSITIONS crystal
Rb 0.006 0.176 0.000
Rb 0.494 0.676 0.500
Rb 0.506 0.324 0.000
Rb 0.994 0.824 0.500
Cu 0.139 0.631 0.976
Cu 0.361 0.131 0.476
Cu 0.639 0.869 0.976
Cu 0.861 0.369 0.476
P 0.196 0.431 0.454
P 0.304 0.931 0.954
P 0.696 0.069 0.454
P 0.804 0.569 0.954
O 0.068 0.333 0.533
O 0.164 0.844 0.010
O 0.197 0.457 0.151
O 0.201 0.579 0.601
O 0.299 0.079 0.101
O 0.303 0.957 0.651
O 0.336 0.344 0.510
O 0.432 0.833 0.033
O 0.568 0.167 0.533
O 0.664 0.656 0.010
O 0.697 0.043 0.151
O 0.701 0.921 0.601
O 0.799 0.421 0.101
O 0.803 0.543 0.651
O 0.836 0.156 0.510
O 0.932 0.667 0.033

---

! ScZnFe2 (PBE, relaxed); values from VASP
! Total magnetization ... 1.18 μB/atom
! Fermi-level density of states ... 0.587 states/eV/atom
! VASP energy ... -71.34 eV/cell
&SYSTEM
  ibrav = 0, nat = 12, ntyp = 3
/
ATOMIC_SPECIES
Sc 44.96 Sc.upf
Zn 65.41 Zn.upf
Fe 55.84 Fe.upf
CELL_PARAMETERS angstrom
2.935 0.000 0.000
-1.467 2.542 0.000
0.000 0.000 24.862
ATOMIC_POSITIONS crystal
Sc 0.000 0.000 0.000
Sc 0.333 0.667 0.667
Sc 0.667 0.333 0.333
Zn 0.000 0.000 0.237
Zn 0.333 0.667 0.903
Zn 0.667 0.333 0.570
Fe 0.000 0.000 0.489
Fe 0.000 0.000 0.753
Fe 0.333 0.667 0.156
Fe 0.333 0.667 0.420
Fe 0.667 0.333 0.086
Fe 0.667 0.333 0.822

---

! Ba2UH3S3 (PBE, relaxed); values from VASP
! Total magnetization ... 0.11 μB/atom
! Fermi-level density of states ... 0.706 states/eV/atom
! VASP energy ... -47.16 eV/cell
&SYSTEM
  ibrav = 0, nat = 9, ntyp = 4
/
ATOMIC_SPECIES
Ba 137.33 Ba.upf
U 238.03 U.upf
H 1.01 H.upf
S 32.06 S.upf
CELL_PARAMETERS angstrom
7.466 0.000 0.000
-3.733 6.466 0.000
0.000 0.000 3.967
ATOMIC_POSITIONS crystal
Ba 0.333 0.667 0.000
Ba 0.667 0.333 0.000
U 0.000 0.000 0.500
H 0.000 0.849 0.000
H 0.151 0.151 0.000
H 0.849 0.000 0.000
S 0.000 0.351 0.500
S 0.351 0.000 0.500
S 0.649 0.649 0.500

---

! NdZrNi10 (PBE, relaxed); values from VASP
! Total magnetization ... 0.21 μB/atom
! Fermi-level density of states ... 1.099 states/eV/atom
! VASP energy ... -74.48 eV/cell
&SYSTEM
  ibrav = 0, nat = 12, ntyp = 3
/
ATOMIC_SPECIES
Nd 144.24 Nd.upf
Zr 91.22 Zr.upf
Ni 58.69 Ni.upf
CELL_PARAMETERS angstrom
3.966 0.000 0.000
0.000 4.849 0.000
0.000 0.000 8.422
ATOMIC_POSITIONS crystal
Nd 0.000 0.000 0.000
Zr 0.000 0.500 0.500
Ni 0.000 0.000 0.342
Ni 0.000 0.000 0.658
Ni 0.000 0.500 0.179
Ni 0.000 0.500 0.821
Ni 0.500 0.000 0.500
Ni 0.500 0.255 0.259
Ni 0.500 0.255 0.741
Ni 0.500 0.500 0.000
Ni 0.500 0.745 0.259
Ni 0.500 0.745 0.741

---

! AcLaPm2Ho5 (PBE, relaxed); values from VASP
! Total magnetization ... 0.00 μB/atom
! Fermi-level density of states ... 1.074 states/eV/atom
! VASP energy ... -78.61 eV/cell
&SYSTEM
  ibrav = 0, nat = 18, ntyp = 4
/
ATOMIC_SPECIES
Ac 227.00 Ac.upf
La 138.91 La.upf
Pm 145.00 Pm.upf
Ho 164.93 Ho.upf
CELL_PARAMETERS angstrom
-4.414 4.414 7.902
4.414 -4.414 7.902
4.414 4.414 -7.902
ATOMIC_POSITIONS crystal
Ac 0.250 0.250 0.000
Ac 0.750 0.750 0.000
La 0.250 0.750 0.500
La 0.750 0.250 0.500
Pm 0.117 0.617 0.735
Pm 0.383 0.117 0.500
Pm 0.617 0.883 0.500
Pm 0.883 0.383 0.265
Ho 0.000 0.000 0.000
Ho 0.074 0.165 0.500
Ho 0.165 0.665 0.091
Ho 0.335 0.426 0.500
Ho 0.426 0.926 0.091
Ho 0.500 0.500 0.000
Ho 0.574 0.074 0.909
Ho 0.665 0.574 0.500
Ho 0.835 0.335 0.909
Ho 0.926 0.835 0.500